Material: Sr2MgUSe5
Method: DFT, PBE-GGA
State: optimized geometry

Its formation energy without anion corrections is -1552.4 meV/atom. The calculation puts the volume at 28.16 A^3/atom.

It has space group Cmc2_1 (No. 36), with a = 4.264 Å, b = 17.816 Å, c = 13.346 Å, α = 90.00°, β = 90.00° and γ = 90.00°. Symmetry generates all atoms from Sr at (0.000, 0.101, 0.000), Sr at (0.000, 0.127, 0.368), Mg at (0.000, 0.457, 0.227), U at (0.000, 0.214, 0.658), Se at (0.000, 0.058, 0.621), Se at (0.000, 0.280, 0.014), Se at (0.000, 0.306, 0.298), Se at (0.000, 0.370, 0.678) and Se at (0.000, 0.497, 0.905).

Material: Sr3Y3MgSe8
Method: DFT, PBE-GGA
State: optimized geometry

Its formation energy without anion corrections is -1840.7 meV/atom. The calculation puts the volume at 28.47 A^3/atom.

It has space group R-3m (No. 166, hexagonal axes), with a = 8.3195 Å, b = 8.3195 Å, c = 21.3707 Å, α = 90.00°, β = 90.00° and γ = 120.00°. Symmetry generates all atoms from Sr at (0.0000, 0.5000, 0.0000), Y at (0.0000, 0.5000, 0.5000), Mg at (0.0000, 0.0000, 0.5000), Se at (0.0000, 0.0000, 0.2436) and Se at (0.0061, 0.5031, 0.2403).